DFT (PBEsol) results for an optimized crystal structure of Tm3Si3Ni.

Lattice parameters (Å, degrees): 4.1029 5.4458 12.5617 84.67 80.60 67.87
Positions (direct):
Tm (0.4710, 0.6779, 0.3801)
Tm (0.6011, 0.7188, 0.0790)
Tm (0.5290, 0.3221, 0.6199)
Tm (0.3989, 0.2812, 0.9210)
Tm (0.7473, 0.7329, 0.7724)
Tm (0.2527, 0.2671, 0.2276)
Si (0.0459, 0.1452, 0.7630)
Si (0.8848, 0.1546, 0.0758)
Si (0.8621, 0.7331, 0.5426)
Si (0.9541, 0.8548, 0.2370)
Si (0.1379, 0.2669, 0.4574)
Si (0.1152, 0.8454, 0.9242)
Ni (0.2474, 0.9073, 0.5980)
Ni (0.7526, 0.0927, 0.4020)

DFT (PBEsol) results for an optimized crystal structure of V6Si7Ni16.

Lattice parameters (Å, degrees): 7.7191 7.7191 7.7191 60.00 60.00 60.00
Last column: magnetic moment on the atom in μB.
Positions (direct):
Si (0.5000, 0.0000, 0.5000)  -0.01
Si (0.0000, 0.5000, 0.5000)  -0.01
Si (0.0000, 0.5000, 0.0000)  -0.01
Si (0.5000, 0.5000, 0.5000)  -0.01
Si (0.5000, 0.0000, 0.0000)  -0.01
Si (0.0000, 0.0000, 0.5000)  -0.01
Si (0.5000, 0.5000, 0.0000)  -0.01
V (0.8036, 0.1964, 0.1964)  0.52
V (0.8036, 0.1964, 0.8036)  0.52
V (0.1964, 0.1964, 0.8036)  0.52
V (0.8036, 0.8036, 0.1964)  0.52
V (0.1964, 0.8036, 0.1964)  0.52
V (0.1964, 0.8036, 0.8036)  0.52
Ni (0.6171, 0.6171, 0.1487)  0.00
Ni (0.8345, 0.8345, 0.8345)  0.12
Ni (0.5034, 0.1655, 0.1655)  0.12
Ni (0.1487, 0.6171, 0.6171)  0.00
Ni (0.1655, 0.5034, 0.1655)  0.12
Ni (0.3829, 0.3829, 0.8513)  0.00
Ni (0.6171, 0.1487, 0.6171)  0.00
Ni (0.8513, 0.3829, 0.3829)  0.00
Ni (0.3829, 0.3829, 0.3829)  0.00
Ni (0.1655, 0.1655, 0.1655)  0.12
Ni (0.8345, 0.8345, 0.4966)  0.12
Ni (0.6171, 0.6171, 0.6171)  0.00
Ni (0.1655, 0.1655, 0.5034)  0.12
Ni (0.4966, 0.8345, 0.8345)  0.12
Ni (0.3829, 0.8513, 0.3829)  0.00
Ni (0.8345, 0.4966, 0.8345)  0.12

no.,ΔE_f (raw) (eV per atom),uncorrected energy (eV per formula unit)
1,-0.90,-44.374
2,-0.52,-211.680